[1]
Tl2AsW PBE-GGA relaxed; DFT formation energy = 4.066 eV/f.u.; energy relative to the lowest polymorph listed for this composition = 2.72 eV per formula unit; magnetic moment = 0.80 Bohr magnetons per cell
1.0
-1.772 2.479 4.809
1.772 -2.479 4.809
1.772 2.479 -4.809
Tl As W
2 1 1
Direct
0.248 0.248 0.000 Tl
0.752 0.752 0.000 Tl
0.500 0.000 0.500 As
0.000 0.500 0.500 W

***

[2]
KBeP2 PBE-GGA relaxed; DFT formation energy = 3.156 eV/f.u.; magnetic moment = 0.00 Bohr magnetons per cell
1.0
-2.190 2.190 3.799
2.190 -2.190 3.799
2.190 2.190 -3.799
K Be P
1 1 2
Direct
0.000 0.000 0.000 K
0.500 0.500 0.000 Be
0.250 0.750 0.500 P
0.750 0.250 0.500 P

***

[3]
Y2Ho3Tm5 PBE-GGA relaxed; DFT formation energy = 2.053 eV/f.u.; magnetic moment = 0.00 Bohr magnetons per cell
1.0
5.286 -7.719 0.000
5.286 7.719 0.000
-5.282 0.000 7.823
Y Ho Tm
4 6 10
Direct
0.026 0.278 0.047 Y
0.278 0.026 0.547 Y
0.722 0.974 0.453 Y
0.974 0.722 0.953 Y
0.022 0.978 0.750 Ho
0.226 0.481 0.451 Ho
0.481 0.226 0.951 Ho
0.519 0.774 0.049 Ho
0.774 0.519 0.549 Ho
0.978 0.022 0.250 Ho
0.113 0.375 0.737 Tm
0.225 0.775 0.750 Tm
0.275 0.725 0.250 Tm
0.375 0.113 0.237 Tm
0.480 0.520 0.250 Tm
0.520 0.480 0.750 Tm
0.625 0.887 0.763 Tm
0.725 0.275 0.750 Tm
0.775 0.225 0.250 Tm
0.887 0.625 0.263 Tm